# YFe3

A relaxed structure of YFe3 (PBE, Alexandria).

Unit cell a=3.1932 b=3.2444 c=6.2048 alpha=90.00 beta=90.00 gamma=90.00
Atoms (fractional coordinates):
1 Y 0.0000 0.0000 0.0000
2 Fe 0.0000 0.0000 0.5000
3 Fe 0.5000 0.5000 0.3125
4 Fe 0.5000 0.5000 0.6875

* total moment: 1.860 μB per atom
* formation enthalpy at 0 K: 0.20 eV per atom
* total DFT energy (no corrections): -7.76 eV/atom



# YFe3

A relaxed structure of YFe3 (PBE, Alexandria).

Unit cell a=8.6021 b=8.6021 c=8.6021 alpha=34.57 beta=34.57 gamma=34.57
Atoms (fractional coordinates):
1 Y 0.0000 0.0000 0.0000
2 Y 0.1419 0.1419 0.1419
3 Y 0.8581 0.8581 0.8581
4 Fe 0.0820 0.5807 0.5807
5 Fe 0.3328 0.3328 0.3328
6 Fe 0.4193 0.4193 0.9180
7 Fe 0.4193 0.9180 0.4193
8 Fe 0.5000 0.5000 0.5000
9 Fe 0.5807 0.0820 0.5807
10 Fe 0.5807 0.5807 0.0820
11 Fe 0.6672 0.6672 0.6672
12 Fe 0.9180 0.4193 0.4193

* total moment: 1.423 μB per atom
* formation enthalpy at 0 K: -0.06 eV per atom
* total DFT energy (no corrections): -8.03 eV/atom



# YFe

A relaxed structure of YFe (PBE, Alexandria).

Unit cell a=3.5747 b=3.5747 c=3.9503 alpha=90.00 beta=90.00 gamma=120.00
Atoms (fractional coordinates):
1 Y 0.0000 0.0000 0.0000
2 Fe 0.6667 0.3333 0.5000

* total moment: 0.795 μB per atom
* formation enthalpy at 0 K: 0.51 eV per atom
* total DFT energy (no corrections): -6.95 eV/atom